Record 1
# PBE-GGA GdGeRh, optimized geometry
# Fermi-level density of states   0.6603 states/eV per atom
# Raw total energy   -9.635 eV per atom
# DFT formation energy   -952 meV per atom
# V   232 Å³/cell
# Magnetic moment   7.090 μB/f.u.
data_GdGeRh
_chemical_formula_sum 'Gd4 Ge4 Rh4'
_cell_length_a 7.047
_cell_length_b 4.384
_cell_length_c 7.518
_cell_angle_alpha 90.00
_cell_angle_beta 90.00
_cell_angle_gamma 90.00
_space_group_name_H-M_alt 'P n m a'
_space_group_IT_number 62
loop_
_space_group_symop_operation_xyz
'x,y,z'
'-x,-y,-z'
'-x+1/2,-y,z+1/2'
'x+1/2,y,-z+1/2'
'x+1/2,-y+1/2,-z+1/2'
'-x+1/2,y+1/2,z+1/2'
'-x,y+1/2,-z'
'x,-y+1/2,z'
loop_
_atom_site_label
_atom_site_fract_x
_atom_site_fract_y
_atom_site_fract_z
Gd1 0.004 0.250 0.193
Ge1 0.207 0.250 0.603
Rh1 0.156 0.750 0.430



Record 2
# PBE-GGA Li8ZnAg6, optimized geometry
# Fermi-level density of states   0.2138 states/eV per atom
# Raw total energy   -2.338 eV per atom
# DFT formation energy   -92 meV per atom
# V   856 Å³/cell
# Magnetic moment   0.000 μB/f.u.
data_Li8ZnAg6
_chemical_formula_sum 'Li24 Zn3 Ag18'
_cell_length_a 7.7038
_cell_length_b 7.7038
_cell_length_c 16.6633
_cell_angle_alpha 90.00
_cell_angle_beta 90.00
_cell_angle_gamma 120.00
_space_group_name_H-M_alt 'R -3'
_space_group_IT_number 148
_space_group_name_Hall '-R 3'
loop_
_atom_site_label
_atom_site_fract_x
_atom_site_fract_y
_atom_site_fract_z
Li1 0.0000 0.0000 0.1677
Li2 0.0067 0.6833 0.6202
Zn1 0.0000 0.0000 0.5000
Ag1 0.0019 0.6643 0.4542



Record 3
# PBE-GGA LaTm2Ga, optimized geometry
# Fermi-level density of states   1.4474 states/eV per atom
# Raw total energy   -4.435 eV per atom
# Excess energy over the best structure of this formula in the dataset   0.074 eV per atom
# DFT formation energy   -211 meV per atom
# V   108 Å³/cell
# Magnetic moment   0.000 μB/f.u.
data_LaTm2Ga
_chemical_formula_sum 'La1 Tm2 Ga1'
_cell_length_a 4.788
_cell_length_b 4.788
_cell_length_c 4.725
_cell_angle_alpha 90.00
_cell_angle_beta 90.00
_cell_angle_gamma 90.00
_space_group_name_H-M_alt 'P 4/m m m'
_space_group_IT_number 123
_space_group_name_Hall '-P 4 2'
loop_
_atom_site_label
_atom_site_fract_x
_atom_site_fract_y
_atom_site_fract_z
La1 0.000 0.000 0.000
Tm1 0.000 0.500 0.500
Ga1 0.500 0.500 0.000



Record 4
# PBE-GGA Cr2GaH, optimized geometry
# Fermi-level density of states   0.9586 states/eV per atom
# Raw total energy   -6.363 eV per atom
# Excess energy over the best structure of this formula in the dataset   0.050 eV per atom
# V   120 Å³/cell
# Magnetic moment   0.000 μB/f.u.
data_Cr2GaH
_chemical_formula_sum 'Cr6 Ga3 H3'
_cell_length_a 2.7199
_cell_length_b 2.7199
_cell_length_c 18.7932
_cell_angle_alpha 90.00
_cell_angle_beta 90.00
_cell_angle_gamma 120.00
_space_group_name_H-M_alt 'R -3 m'
_space_group_IT_number 166
_space_group_name_Hall '-R 3 2"'
loop_
_atom_site_label
_atom_site_fract_x
_atom_site_fract_y
_atom_site_fract_z
Cr1 0.0000 0.0000 0.2205
Ga1 0.0000 0.0000 0.0000
H1 0.0000 0.0000 0.5000



Record 5
# PBE-GGA ZnGe2BiP, optimized geometry
# Fermi-level density of states   0.6355 states/eV per atom
# Raw total energy   -3.351 eV per atom
# DFT formation energy   609 meV per atom
# V   114 Å³/cell
# Magnetic moment   0.000 μB/f.u.
data_ZnGe2BiP
_chemical_formula_sum 'Zn1 Ge2 Bi1 P1'
_cell_length_a 4.957
_cell_length_b 4.957
_cell_length_c 4.652
_cell_angle_alpha 90.00
_cell_angle_beta 90.00
_cell_angle_gamma 90.00
_space_group_name_H-M_alt 'P 4/m m m'
_space_group_IT_number 123
_space_group_name_Hall '-P 4 2'
loop_
_atom_site_label
_atom_site_fract_x
_atom_site_fract_y
_atom_site_fract_z
Zn1 0.000 0.000 0.000
Ge1 0.000 0.500 0.000
Bi1 0.500 0.500 0.500
P1 0.000 0.000 0.500



Record 6
# PBE-GGA TaH2W, optimized geometry
# Fermi-level density of states   0.5297 states/eV per atom
# Raw total energy   -7.720 eV per atom
# Excess energy over the best structure of this formula in the dataset   0.048 eV per atom
# V   121 Å³/cell
# Magnetic moment   0.000 μB/f.u.
data_TaH2W
_chemical_formula_sum 'Ta3 H6 W3'
_cell_length_a 3.0368
_cell_length_b 3.0368
_cell_length_c 15.1466
_cell_angle_alpha 90.00
_cell_angle_beta 90.00
_cell_angle_gamma 120.00
_space_group_name_H-M_alt 'R -3 m'
_space_group_IT_number 166
_space_group_name_Hall '-R 3 2"'
loop_
_atom_site_label
_atom_site_fract_x
_atom_site_fract_y
_atom_site_fract_z
Ta1 0.0000 0.0000 0.0000
H1 0.0000 0.0000 0.3802
W1 0.0000 0.0000 0.5000



Record 7
# PBE-GGA ScMn2Fe, optimized geometry
# Fermi-level density of states   0.7505 states/eV per atom
# Raw total energy   -7.962 eV per atom
# Excess energy over the best structure of this formula in the dataset   0.225 eV per atom
# DFT formation energy   321 meV per atom
# V   171 Å³/cell
# Magnetic moment   2.607 μB/f.u.
data_ScMn2Fe
_chemical_formula_sum 'Sc3 Mn6 Fe3'
_cell_length_a 2.7925
_cell_length_b 2.7925
_cell_length_c 25.3638
_cell_angle_alpha 90.00
_cell_angle_beta 90.00
_cell_angle_gamma 120.00
_space_group_name_H-M_alt 'R 3 m'
_space_group_IT_number 160
_space_group_name_Hall 'R 3 -2"'
loop_
_atom_site_label
_atom_site_fract_x
_atom_site_fract_y
_atom_site_fract_z
Sc1 0.0000 0.0000 0.0000
Mn1 0.0000 0.0000 0.2427
Mn2 0.0000 0.0000 0.5021
Fe1 0.0000 0.0000 0.7565



Record 8
# PBE-GGA Na2AcNpTe4, optimized geometry
# Fermi-level density of states   0.8141 states/eV per atom
# Raw total energy   -5.117 eV per atom
# E_form (uncorrected)   -838 kJ/mol of formula units
# V   282 Å³/cell
# Magnetic moment   4.000 μB/f.u.
data_Na2AcNpTe4
_chemical_formula_sum 'Na2 Ac1 Np1 Te4'
_cell_length_a 7.986
_cell_length_b 4.643
_cell_length_c 8.079
_cell_angle_alpha 90.00
_cell_angle_beta 109.73
_cell_angle_gamma 90.00
_space_group_name_H-M_alt 'P 1 2/m 1'
_space_group_IT_number 10
loop_
_space_group_symop_operation_xyz
'x,y,z'
'-x,-y,-z'
'-x,y,-z'
'x,-y,z'
loop_
_atom_site_label
_atom_site_fract_x
_atom_site_fract_y
_atom_site_fract_z
Na1 0.000 0.000 0.000
Na2 0.000 0.500 0.500
Ac1 0.500 0.000 0.500
Np1 0.500 0.500 0.000
Te1 0.253 0.500 0.239
Te2 0.264 0.000 0.767